Here is CoTe2As after structural relaxation from Alexandria. Energies are from GGA-PBE.

SG: C2/m
Density of states at the Fermi level: 2.675 states/eV/f.u.
Formation energy without anion corrections: 138 meV/atom

Unit cell a=3.8594 b=3.8594 c=6.9924 alpha=74.37 beta=74.37 gamma=59.65
Closest atoms and distances in Å follow each position.
Positions (direct):
As 0.7500 0.7500 0.7500  6 Te 2.94-2.96
Te 0.9850 0.9850 0.0424  3 Co 2.62
Te 0.5150 0.5150 0.4576  3 Co 2.62
Co 0.2500 0.2500 0.2500  6 Te 2.62